VASP calculation (SCAN) on a PBEsol-optimized structure of Sr2ScF.

Computed properties:
energy relative to the elements, uncorrected	-0.16	eV/atom

Cell lengths 5.7504, 5.7504, 5.7504 Å; angles 60.00, 60.00, 60.00 degrees
With the nearest neighbours (Å) after each atom.
Fractional coordinates of all 4 atoms:
Sr 0.7500 0.7500 0.7500  4 F 3.52, 4 Sc 3.52
Sr 0.2500 0.2500 0.2500  4 F 3.52, 4 Sc 3.52
F 0.0000 0.0000 0.0000  8 Sr 3.52
Sc 0.5000 0.5000 0.5000  8 Sr 3.52

=====

VASP calculation (SCAN) on a PBEsol-optimized structure of ScTcF2.

Computed properties:
energy relative to the elements, uncorrected	-1.02	eV/atom

Cell lengths 4.1627, 4.1627, 4.1627 Å; angles 60.00, 60.00, 60.00 degrees
With the nearest neighbours (Å) after each atom.
Fractional coordinates of all 4 atoms:
F 0.7500 0.7500 0.7500  4 Sc 2.55, 4 Tc 2.55
F 0.2500 0.2500 0.2500  4 Tc 2.55, 4 Sc 2.55
Sc 0.0000 0.0000 0.0000  8 F 2.55
Tc 0.5000 0.5000 0.5000  8 F 2.55

=====

VASP calculation (SCAN) on a PBEsol-optimized structure of ScTl2TcF.

Computed properties:
energy relative to the elements, uncorrected	-0.19	eV/atom

Cell lengths 3.7737, 5.5946, 5.5946 Å; angles 90.00, 90.00, 90.00 degrees
With the nearest neighbours (Å) after each atom.
Fractional coordinates of all 5 atoms:
Sc 0.0000 0.0000 0.0000  2 F 1.89
F 0.5000 0.0000 0.0000  2 Sc 1.89
Tc 0.5000 0.5000 0.5000  8 Tl 3.37, 2 Tc 3.77
Tl 0.0000 0.5000 0.0000  2 Sc 2.80
Tl 0.0000 0.0000 0.5000  2 Sc 2.80

=====

VASP calculation (SCAN) on a PBEsol-optimized structure of ScTeF3.

Computed properties:
energy relative to the elements, uncorrected	-2.63	eV/atom

Cell lengths 4.2559, 4.2559, 4.2559 Å; angles 90.00, 90.00, 90.00 degrees
With the nearest neighbours (Å) after each atom.
Fractional coordinates of all 5 atoms:
F 0.0000 0.0000 0.5000  2 Sc 2.13
F 0.0000 0.5000 0.0000  2 Sc 2.13
F 0.5000 0.0000 0.0000  2 Sc 2.13
Te 0.5000 0.5000 0.5000  12 F 3.01
Sc 0.0000 0.0000 0.0000  6 F 2.13

=====

VASP calculation (SCAN) on a PBEsol-optimized structure of ScTeF2.

Computed properties:
energy relative to the elements, uncorrected	-2.57	eV/atom

Cell lengths 6.2769, 6.2769, 6.2950 Å; angles 119.91, 119.91, 90.00 degrees
With the nearest neighbours (Å) after each atom.
Fractional coordinates of all 8 atoms:
Te 0.0000 0.0000 0.0000  12 F 3.68-3.70, 4 Sc 3.85, 4 Te 3.85
Te 0.2500 0.7500 0.5000  12 F 3.68-3.70, 4 Sc 3.85, 4 Te 3.85
F 0.6250 0.8750 0.2500  2 Sc 1.93
F 0.6250 0.3750 0.2500  2 Sc 1.93
F 0.6250 0.3750 0.7500  2 Sc 1.93
F 0.1250 0.3750 0.7500  2 Sc 1.93
Sc 0.7500 0.2500 0.5000  4 F 1.93
Sc 0.5000 0.5000 0.0000  4 F 1.93

=====

VASP calculation (SCAN) on a PBEsol-optimized structure of ScTiF2.

Computed properties:
energy relative to the elements, uncorrected	-1.35	eV/atom

Cell lengths 4.1196, 4.1196, 4.1196 Å; angles 60.00, 60.00, 60.00 degrees
With the nearest neighbours (Å) after each atom.
Fractional coordinates of all 4 atoms:
F 0.7500 0.7500 0.7500  4 Ti 2.52, 4 Sc 2.52
F 0.2500 0.2500 0.2500  4 Sc 2.52, 4 Ti 2.52
Sc 0.0000 0.0000 0.0000  8 F 2.52
Ti 0.5000 0.5000 0.5000  8 F 2.52

=====

VASP calculation (SCAN) on a PBEsol-optimized structure of ScTl3F6.

Computed properties:
energy relative to the elements, uncorrected	-2.79	eV/atom

Cell lengths 6.3039, 6.3039, 9.3296 Å; angles 90.00, 90.00, 90.00 degrees
With the nearest neighbours (Å) after each atom.
Fractional coordinates of all 20 atoms:
F 0.6291 0.2071 0.5000  1 Sc 2.02
F 0.7929 0.6291 0.5000  1 Sc 2.02
F 0.8709 0.7071 0.0000  1 Sc 2.02
F 0.2071 0.3709 0.5000  1 Sc 2.02
F 0.7071 0.1291 0.0000  1 Sc 2.02
F 0.3709 0.7929 0.5000  1 Sc 2.02
F 0.5000 0.5000 0.2834  1 Sc 2.02
F 0.0000 0.0000 0.2166  1 Sc 2.02
F 0.2929 0.8709 0.0000  1 Sc 2.02
F 0.5000 0.5000 0.7166  1 Sc 2.02
F 0.0000 0.0000 0.7834  1 Sc 2.02
F 0.1291 0.2929 0.0000  1 Sc 2.02
Tl 0.0000 0.0000 0.5000  6 F 2.64-2.68
Tl 0.5000 0.5000 0.0000  6 F 2.64-2.68
Tl 0.5000 0.0000 0.2500  4 F 2.79
Tl 0.5000 0.0000 0.7500  4 F 2.79
Tl 0.0000 0.5000 0.7500  4 F 2.79
Tl 0.0000 0.5000 0.2500  4 F 2.79
Sc 0.5000 0.5000 0.5000  6 F 2.02
Sc 0.0000 0.0000 0.0000  6 F 2.02

=====

VASP calculation (SCAN) on a PBEsol-optimized structure of Sc2TlF2.

Computed properties:
energy relative to the elements, uncorrected	-2.44	eV/atom

Cell lengths 3.5032, 3.5032, 6.8170 Å; angles 104.89, 104.89, 90.00 degrees
With the nearest neighbours (Å) after each atom.
Fractional coordinates of all 5 atoms:
Sc 0.6409 0.6409 0.2818  4 F 2.23
Sc 0.3591 0.3591 0.7182  4 F 2.23
F 0.7500 0.2500 0.5000  4 Sc 2.23, 4 F 2.48
F 0.2500 0.7500 0.5000  4 Sc 2.23, 4 F 2.48
Tl 0.0000 0.0000 0.0000  8 Sc 3.06

=====

VASP calculation (SCAN) on a PBEsol-optimized structure of Sc2TlF.

Computed properties:
energy relative to the elements, uncorrected	-1.06	eV/atom

Cell lengths 4.7907, 4.7907, 4.7907 Å; angles 60.00, 60.00, 60.00 degrees
With the nearest neighbours (Å) after each atom.
Fractional coordinates of all 4 atoms:
F 0.0000 0.0000 0.0000  8 Sc 2.93
Tl 0.5000 0.5000 0.5000  8 Sc 2.93
Sc 0.7500 0.7500 0.7500  4 Tl 2.93, 4 F 2.93
Sc 0.2500 0.2500 0.2500  4 Tl 2.93, 4 F 2.93

=====

VASP calculation (SCAN) on a PBEsol-optimized structure of ScTlF2.

Computed properties:
energy relative to the elements, uncorrected	-2.45	eV/atom

Cell lengths 3.2850, 3.2850, 8.8484 Å; angles 79.30, 79.30, 60.00 degrees
With the nearest neighbours (Å) after each atom.
Fractional coordinates of all 4 atoms:
F 0.8728 0.8728 0.3816  3 Sc 2.16
F 0.1272 0.1272 0.6184  3 Sc 2.16
Tl 0.0000 0.0000 0.0000  6 Tl 3.29, 2 F 3.30
Sc 0.5000 0.5000 0.5000  6 F 2.16

=====

VASP calculation (SCAN) on a PBEsol-optimized structure of ScTlF6.

Computed properties:
energy relative to the elements, uncorrected	-3.01	eV/atom

Cell lengths 5.4313, 5.4313, 5.7854 Å; angles 62.00, 62.00, 60.00 degrees
With the nearest neighbours (Å) after each atom.
Fractional coordinates of all 8 atoms:
Sc 0.5000 0.5000 0.5000  6 F 2.02
F 0.8611 0.6191 0.2598  1 Sc 2.02, 1 Tl 2.16
F 0.6191 0.2600 0.2598  1 Sc 2.02, 1 Tl 2.16
F 0.1389 0.3809 0.7402  1 Sc 2.02, 1 Tl 2.16
F 0.7400 0.1389 0.7402  1 Sc 2.02, 1 Tl 2.16
F 0.3809 0.7400 0.7402  1 Sc 2.02, 1 Tl 2.16
F 0.2600 0.8611 0.2598  1 Sc 2.02, 1 Tl 2.16
Tl 0.0000 0.0000 0.0000  6 F 2.16

=====

VASP calculation (SCAN) on a PBEsol-optimized structure of ScWF2.

Computed properties:
distance to the lowest polymorph of the same formula	0.0	kJ per mole of atoms
energy relative to the elements, uncorrected	-1.61	eV/atom

Cell lengths 2.7778, 2.7778, 7.6193 Å; angles 79.50, 79.50, 60.00 degrees
With the nearest neighbours (Å) after each atom.
Fractional coordinates of all 4 atoms:
Sc 0.5000 0.5000 0.5000  6 F 2.24
F 0.0969 0.0969 0.7094  1 W 2.16, 3 Sc 2.24
F 0.9031 0.9031 0.2906  1 W 2.16, 3 Sc 2.24
W 0.0000 0.0000 0.0000  2 F 2.16

=====

| no. | total DFT energy (no corrections) (eV/atom) |
| --- | --- |
| 1 | -15.74 |
| 2 | -15.12 |
| 3 | -39.70 |
| 4 | -15.05 |
| 5 | -17.21 |
| 6 | -10.68 |
| 7 | -28.05 |
| 8 | -24.03 |
| 9 | -27.15 |
| 10 | -25.87 |
| 11 | -16.49 |
| 12 | -24.36 |